! LiSmGa4 (PBE-GGA, optimized geometry); values from VASP
! - energy of formation from the pure elements (eV per formula unit) = -2.757
! - calculated volume (Å³/cell) = 117.4
! - electronic total energy (eV per formula unit) = -21.50
&SYSTEM
  ibrav = 0, nat = 6, ntyp = 3
/
ATOMIC_SPECIES
Li 6.94 Li.upf
Sm 150.36 Sm.upf
Ga 69.72 Ga.upf
CELL_PARAMETERS angstrom
-2.155 3.456 3.943
2.155 -3.456 3.943
2.155 3.456 -3.943
ATOMIC_POSITIONS angstrom
Li 0.000 0.000 0.000
Sm 0.000 3.456 0.000
Ga 2.155 1.396 -1.294
Ga 2.155 1.396 1.294
Ga 0.000 2.060 2.649
Ga 0.000 2.060 5.237